[1]
ZrTaSiC2, relaxed, DFT PBE-GGA; volume = 83.3 Å³/cell; formation energy without anion corrections = 1.0435 eV per atom; total moment = 0.0 μB per cell; DOS at the Fermi energy = 3.98 states/eV/f.u.
1.0
4.0879 0.0000 0.0000
0.0000 4.0879 0.0000
0.0000 0.0000 4.9818
Zr Ta Si C
1 1 1 2
direct
0.0000 0.0000 0.0000 Zr
0.5000 0.5000 0.5000 Ta
0.5000 0.5000 0.0000 Si
0.0000 0.5000 0.5000 C
0.5000 0.0000 0.5000 C

=====

[2]
Zr2ZnSiGe, relaxed, DFT PBE-GGA; volume = 109.5 Å³/cell; formation energy without anion corrections = 0.1676 eV per atom; total moment = 0.0 μB per cell; DOS at the Fermi energy = 4.18 states/eV/f.u.
1.0
5.0133 0.0000 0.0000
0.0000 5.0133 0.0000
0.0000 0.0000 4.3586
Zr Zn Si Ge
2 1 1 1
direct
0.0000 0.5000 0.0000 Zr
0.5000 0.0000 0.0000 Zr
0.0000 0.0000 0.5000 Zn
0.0000 0.0000 0.0000 Si
0.5000 0.5000 0.5000 Ge

=====

[3]
Pu2SnPd, relaxed, DFT PBE-GGA; volume = 154.4 Å³/cell; DFT formation energy = -0.82 eV/f.u.; total moment = 0.0 μB per cell; DOS at the Fermi energy = 5.78 states/eV/f.u.
1.0
6.0456 0.0000 0.0000
0.0000 3.5684 0.0000
-0.5415 0.0000 7.1574
Pu Sn Pd
4 2 2
direct
0.0025 0.2500 0.1064 Pu
0.3963 0.7500 0.9246 Pu
0.6037 0.2500 0.0754 Pu
0.9975 0.7500 0.8936 Pu
0.3517 0.7500 0.3548 Sn
0.6483 0.2500 0.6452 Sn
0.1668 0.2500 0.5811 Pd
0.8332 0.7500 0.4189 Pd

=====

[4]
Al5Mo, relaxed, DFT PBE-GGA; volume = 93.3 Å³/cell; energy above the lowest structure with this stoichiometry = 1.24 eV/f.u.; DFT formation energy = -0.26 eV/f.u.; total moment = 0.0 μB per cell; DOS at the Fermi energy = 1.92 states/eV/f.u.
1.0
0.0000 3.6001 3.6001
3.6001 0.0000 3.6001
3.6001 3.6001 0.0000
Al Mo
5 1
direct
0.0000 0.0000 0.0000 Al
0.3756 0.3756 0.3756 Al
0.3756 0.3756 0.8732 Al
0.3756 0.8732 0.3756 Al
0.8732 0.3756 0.3756 Al
0.7500 0.7500 0.7500 Mo

=====

[5]
ZrScFe2, relaxed, DFT PBE-GGA; volume = 62.0 Å³/cell; DFT formation energy = -0.54 eV/f.u.; total moment = 0.3 μB per cell; DOS at the Fermi energy = 3.91 states/eV/f.u.
1.0
4.4381 0.0000 0.0000
0.0000 4.4381 0.0000
0.0000 0.0000 3.1474
Zr Sc Fe
1 1 2
direct
0.0000 0.0000 0.0000 Zr
0.5000 0.5000 0.0000 Sc
0.0000 0.5000 0.5000 Fe
0.5000 0.0000 0.5000 Fe

=====

[6]
RbSnBiBr6, relaxed, DFT PBE-GGA; volume = 385.1 Å³/cell; formation energy without anion corrections = -0.9962 eV per atom; total moment = 0.0 μB per cell; DOS at the Fermi energy = 0.00 states/eV/f.u.
1.0
7.6475 0.0000 0.0000
-3.8238 6.6230 0.0000
0.0000 0.0000 7.6039
Rb Sn Bi Br
1 1 1 6
direct
0.0000 0.0000 0.0000 Rb
0.6667 0.3333 0.5000 Sn
0.3333 0.6667 0.5000 Bi
0.0117 0.3778 0.2754 Br
0.0117 0.6339 0.7246 Br
0.3661 0.3778 0.7246 Br
0.3661 0.9883 0.2754 Br
0.6222 0.6339 0.2754 Br
0.6222 0.9883 0.7246 Br

=====

[7]
LiGaPd5, relaxed, DFT PBE-GGA; volume = 220.4 Å³/cell; DFT formation energy = -1.67 eV/f.u.; total moment = 0.0 μB per cell; DOS at the Fermi energy = 3.99 states/eV/f.u.
1.0
4.1348 -4.5344 0.0000
4.1348 4.5344 0.0000
-3.5243 0.0000 5.8789
Li Ga Pd
2 2 10
direct
0.1939 0.8061 0.7500 Li
0.8061 0.1939 0.2500 Li
0.0000 0.5000 0.0000 Ga
0.5000 0.0000 0.5000 Ga
0.0713 0.9287 0.2500 Pd
0.1825 0.3619 0.6430 Pd
0.2924 0.5823 0.4037 Pd
0.3619 0.1825 0.1430 Pd
0.4177 0.7076 0.0963 Pd
0.5823 0.2924 0.9037 Pd
0.6381 0.8175 0.8570 Pd
0.7076 0.4177 0.5963 Pd
0.8175 0.6381 0.3570 Pd
0.9287 0.0713 0.7500 Pd

=====

[8]
Sc3Cu, relaxed, DFT PBE-GGA; volume = 165.0 Å³/cell; energy above the lowest structure with this stoichiometry = 0.73 eV/f.u.; DFT formation energy = 0.19 eV/f.u.; total moment = 0.0 μB per cell; DOS at the Fermi energy = 5.79 states/eV/f.u.
1.0
5.4851 0.0000 0.0000
0.0000 5.4851 0.0000
0.0000 0.0000 5.4851
Sc Cu
6 2
direct
0.0000 0.2500 0.5000 Sc
0.0000 0.7500 0.5000 Sc
0.2500 0.5000 0.0000 Sc
0.5000 0.0000 0.2500 Sc
0.5000 0.0000 0.7500 Sc
0.7500 0.5000 0.0000 Sc
0.0000 0.0000 0.0000 Cu
0.5000 0.5000 0.5000 Cu

=====

[9]
AgP2Cl, relaxed, DFT PBE-GGA; volume = 96.2 Å³/cell; formation energy without anion corrections = 0.0009 eV per atom; energy above the lowest structure with this stoichiometry = 0.47 eV/f.u.; total moment = 0.0 μB per cell
1.0
5.8525 -1.6472 0.0000
5.8525 1.6472 0.0000
-1.4630 0.0000 4.9881
Ag P Cl
1 2 1
direct
0.0000 0.0000 0.0000 Ag
0.1466 0.1466 0.4495 P
0.6086 0.6086 0.6927 P
0.7802 0.7802 0.0154 Cl

=====

[10]
PaAs2Pd4, relaxed, DFT PBE-GGA; volume = 243.8 Å³/cell; energy above the lowest structure with this stoichiometry = 0.00 eV/f.u.; DFT formation energy = -4.40 eV/f.u.; total moment = 0.0 μB per cell; DOS at the Fermi energy = 4.50 states/eV/f.u.
1.0
7.6651 0.0000 0.0000
0.0000 7.6651 0.0000
0.0000 0.0000 4.1487
Pa As Pd
2 4 8
direct
0.0000 0.0000 0.0000 Pa
0.5000 0.5000 0.5000 Pa
0.2178 0.2178 0.5000 As
0.2822 0.7178 0.0000 As
0.7178 0.2822 0.0000 As
0.7822 0.7822 0.5000 As
0.0917 0.6599 0.5000 Pd
0.1599 0.4083 0.0000 Pd
0.3401 0.9083 0.5000 Pd
0.4083 0.1599 0.0000 Pd
0.5917 0.8401 0.0000 Pd
0.6599 0.0917 0.5000 Pd
0.8401 0.5917 0.0000 Pd
0.9083 0.3401 0.5000 Pd

=====

[11]
Co2CuNi2, relaxed, DFT PBE-GGA; volume = 61.8 Å³/cell; energy above the lowest structure with this stoichiometry = 1.96 eV/f.u.; DFT formation energy = 1.96 eV/f.u.; total moment = 4.7 μB per cell; DOS at the Fermi energy = 5.60 states/eV/f.u.
1.0
-1.6320 1.6320 5.8033
1.6320 -1.6320 5.8033
1.6320 1.6320 -5.8033
Co Cu Ni
2 1 2
direct
0.2500 0.7500 0.5000 Co
0.7500 0.2500 0.5000 Co
0.0000 0.0000 0.0000 Cu
0.4009 0.4009 0.0000 Ni
0.5991 0.5991 0.0000 Ni

=====

[12]
Mn3TlI8, relaxed, DFT PBE-GGA; volume = 497.6 Å³/cell; formation energy without anion corrections = -0.4204 eV per atom; total moment = 14.0 μB per cell; DOS at the Fermi energy = 7.08 states/eV/f.u.
1.0
4.1291 2.3839 8.4249
-4.1291 2.3839 8.4249
0.0000 -4.7678 8.4249
Mn Tl I
3 1 8
direct
0.0000 0.5000 0.5000 Mn
0.5000 0.0000 0.5000 Mn
0.5000 0.5000 0.0000 Mn
0.5000 0.5000 0.5000 Tl
0.2322 0.2322 0.7231 I
0.2322 0.7231 0.2322 I
0.2650 0.2650 0.2650 I
0.2769 0.7678 0.7678 I
0.7231 0.2322 0.2322 I
0.7350 0.7350 0.7350 I
0.7678 0.2769 0.7678 I
0.7678 0.7678 0.2769 I